(1)
A relaxed structure of Tl2Ge2Bi. Source: Alexandria, functional PBE-GGA.

It has space group I4/mmm (No. 139), with a = 4.4333 Å, b = 4.4333 Å, c = 14.4560 Å, α = 90.00°, β = 90.00° and γ = 90.00°. The asymmetric unit holds Tl at (0.0000, 0.5000, 0.2500), Ge at (0.0000, 0.0000, 0.0858) and Bi at (0.0000, 0.0000, 0.5000).

The calculation puts the offset from the most stable computed form at 2.00 kcal/mol of atoms. As for the density of states at the Fermi level: 2.53 states/eV/f.u. The calculation puts the raw total energy at -0.12095 Ha/atom. The calculation puts the calculated formation energy at 0.278 eV per atom.

(2)
A relaxed structure of Tl2SiSb. Source: Alexandria, functional PBE-GGA.

It has space group Fm-3m (No. 225), with a = 7.5228 Å, b = 7.5228 Å, c = 7.5228 Å, α = 90.00°, β = 90.00° and γ = 90.00°. The asymmetric unit holds Tl at (0.2500, 0.2500, 0.2500), Si at (0.0000, 0.0000, 0.0000) and Sb at (0.0000, 0.0000, 0.5000).

The calculation puts the offset from the most stable computed form at 7.16 kcal/mol of atoms. The value obtained for the formation energy without anion corrections is 0.46 eV/atom. As for the density of states at the Fermi level: 2.51 states/eV/f.u. The calculation puts the raw total energy at -0.11421 Ha/atom.

(3)
A relaxed structure of Pa6Ti2Nb. Source: Alexandria, functional PBE-GGA.

It has space group P6/mmm (No. 191), with a = 8.7420 Å, b = 8.7420 Å, c = 2.9575 Å, α = 90.00°, β = 90.00° and γ = 120.00°. The asymmetric unit holds Pa at (0.0000, 0.3354, 0.0000), Ti at (0.3333, 0.6667, 0.5000) and Nb at (0.0000, 0.0000, 0.5000).

As for the density of states at the Fermi level: 16.91 states/eV/f.u. The calculation puts the raw total energy at -0.33746 Ha/atom. The calculation puts the calculated formation energy at 0.021 eV per atom.

(4)
A relaxed structure of U2Al5Zn12. Source: Alexandria, functional PBE-GGA.

It has space group R-3m (No. 166, hexagonal axes), with a = 9.0707 Å, b = 9.0707 Å, c = 13.2922 Å, α = 90.00°, β = 90.00° and γ = 120.00°. The asymmetric unit holds U at (0.0000, 0.0000, 0.1729), Al at (0.0000, 0.0000, 0.4006), Al at (0.0000, 0.5000, 0.0000), Zn at (0.0000, 0.3015, 0.5000) and Zn at (0.0147, 0.5074, 0.6500).

As for the density of states at the Fermi level: 17.24 states/eV/f.u. The calculation puts the raw total energy at -0.11080 Ha/atom. The calculation puts the calculated formation energy at -0.037 eV per atom.

(5)
A relaxed structure of ReSbIr2. Source: Alexandria, functional PBE-GGA.

It has space group Pmmm (No. 47), with a = 2.9326 Å, b = 4.6970 Å, c = 4.7099 Å, α = 90.00°, β = 90.00° and γ = 90.00°. The asymmetric unit holds Re at (0.0000, 0.0000, 0.0000), Sb at (0.5000, 0.0000, 0.5000), Ir at (0.0000, 0.5000, 0.5000) and Ir at (0.5000, 0.5000, 0.0000).

The value obtained for the formation energy without anion corrections is 0.45 eV/atom. As for the density of states at the Fermi level: 3.60 states/eV/f.u. The calculation puts the raw total energy at -0.29849 Ha/atom.